1.
# ErFeAg

A relaxed structure of ErFeAg (PBE-GGA, OQMD via LeMat-Bulk).

```
ErFeAg
1.0
0.000 3.278 3.278
3.278 0.000 3.278
3.278 3.278 0.000
Ag Er Fe
1 1 1
Direct
0.250 0.250 0.250 Ag
0.000 0.000 0.000 Er
0.750 0.750 0.750 Fe
```

Output
- SG = F-43m, No. 216
- mass density (g/cm³) = 7.8
- ΔE_f (eV per atom) = 0.7858



2.
# ErGaAg

A relaxed structure of ErGaAg (PBE-GGA, OQMD via LeMat-Bulk).

```
ErGaAg
1.0
-0.737 -4.694 -0.077
1.868 -2.754 3.392
-2.824 -2.015 3.248
Ag Er Ga
1 1 1
Direct
0.250 0.250 0.250 Ag
0.000 0.000 0.000 Er
0.750 0.750 0.750 Ga
```

Output
- total energy (eV per atom) = -3.378
- SG = F-43m, No. 216
- mass density (g/cm³) = 7.5



3.
# ErGaAg

A relaxed structure of ErGaAg (PBE-GGA, OQMD via LeMat-Bulk).

```
ErGaAg
1.0
0.000 3.271 3.271
3.271 0.000 3.271
3.271 3.271 0.000
Ag Er Ga
1 1 1
Direct
0.000 0.000 0.000 Ag
0.250 0.250 0.250 Er
0.750 0.750 0.750 Ga
```

Output
- total energy (eV per atom) = -3.737
- SG = F-43m, No. 216
- mass density (g/cm³) = 8.2



Look up the mass density of the second one. 7.5 g/cm³